A relaxed U2GaRu2 crystal, computed with PBE.

The space group is Cmmm (No. 65) and the conventional cell measures 5.413, 6.201 and 5.938 Å, with angles of 90.00, 90.00 and 90.00 degrees. The distinct sites, in fractional coordinates, are U at (0.000, 0.000, 0.218), Ga at (0.000, 0.500, 0.000) and Ru at (0.000, 0.297, 0.500).

The size of the total moment comes out at 1.0 μB/f.u. The value obtained for the formation energy is -0.10 eV per atom.